GaReH2Cl | Alexandria | PBE | optimized geometry; E = -4.28 eV/atom; calculated volume = 14.735 A^3/atom
1.0
3.726 0.000 0.000
0.000 3.726 0.000
0.000 0.000 5.306
Ga Re H Cl
1 1 2 1
direct
0.000 0.000 0.000
0.000 0.000 0.500
0.000 0.500 0.500
0.500 0.000 0.500
0.500 0.500 0.000

***

GaH2SCl | Alexandria | PBE | optimized geometry; E = -2.92 eV/atom; calculated volume = 13.605 A^3/atom
1.0
3.646 0.000 0.000
0.000 3.646 0.000
0.000 0.000 5.119
Ga H S Cl
1 2 1 1
direct
0.000 0.000 0.000
0.000 0.500 0.000
0.500 0.000 0.000
0.000 0.000 0.500
0.500 0.500 0.500

***

SrGaH4Cl | Alexandria | PBE | optimized geometry; E = -3.45 eV/atom; calculated volume = 17.731 A^3/atom
1.0
5.074 -3.667 0.000
5.074 3.667 0.000
-1.497 0.000 6.671
Sr Ga H Cl
2 2 8 2
direct
0.215 0.215 0.143
0.785 0.785 0.857
0.376 0.376 0.747
0.624 0.624 0.253
0.162 0.498 0.872
0.296 0.296 0.521
0.466 0.466 0.230
0.498 0.162 0.872
0.502 0.838 0.128
0.534 0.534 0.770
0.704 0.704 0.479
0.838 0.502 0.128
0.039 0.039 0.759
0.961 0.961 0.241

***

HfGa2Cl | Alexandria | PBE | optimized geometry; offset from the most stable computed form = 211 meV per atom; calculated volume = 20.730 A^3/atom; formation energy without anion corrections = 0.213 eV/atom
1.0
6.922 0.000 0.000
0.000 6.922 0.000
0.000 0.000 6.922
Hf Ga Cl
4 8 4
direct
0.000 0.000 0.000
0.000 0.500 0.500
0.500 0.000 0.500
0.500 0.500 0.000
0.250 0.250 0.250
0.250 0.250 0.750
0.250 0.750 0.250
0.250 0.750 0.750
0.750 0.250 0.250
0.750 0.250 0.750
0.750 0.750 0.250
0.750 0.750 0.750
0.000 0.000 0.500
0.000 0.500 0.000
0.500 0.000 0.000
0.500 0.500 0.500

***

HfGa2Cl2 | Alexandria | PBE | optimized geometry; offset from the most stable computed form = 141 meV per atom; calculated volume = 21.568 A^3/atom; formation energy without anion corrections = 0.192 eV/atom
1.0
4.150 0.000 0.000
0.000 4.150 0.000
0.000 0.000 12.522
Hf Ga Cl
2 4 4
direct
0.000 0.000 0.000
0.500 0.500 0.500
0.000 0.000 0.399
0.000 0.000 0.601
0.500 0.500 0.101
0.500 0.500 0.899
0.000 0.500 0.250
0.000 0.500 0.750
0.500 0.000 0.250
0.500 0.000 0.750

***

HfGa2Cl2 | Alexandria | PBE | optimized geometry; offset from the most stable computed form = 0 meV per atom; calculated volume = 23.457 A^3/atom; formation energy without anion corrections = 0.050 eV/atom
1.0
8.107 0.000 0.000
0.000 8.107 0.000
0.000 0.000 3.569
Hf Ga Cl
2 4 4
direct
0.000 0.000 0.000
0.500 0.500 0.000
0.187 0.313 0.000
0.313 0.813 0.000
0.687 0.187 0.000
0.813 0.687 0.000
0.143 0.643 0.500
0.357 0.143 0.500
0.643 0.857 0.500
0.857 0.357 0.500

***

HfGaCl6 | Alexandria | PBE | optimized geometry; calculated volume = 26.019 A^3/atom; formation energy without anion corrections = -1.378 eV/atom
1.0
3.227 1.863 5.769
-3.227 1.863 5.769
0.000 -3.727 5.769
Hf Ga Cl
1 1 6
direct
0.000 0.000 0.000
0.500 0.500 0.500
0.095 0.388 0.762
0.238 0.905 0.612
0.388 0.762 0.095
0.612 0.238 0.905
0.762 0.095 0.388
0.905 0.612 0.238

***

HfGa2Cl | Alexandria | PBE | optimized geometry; offset from the most stable computed form = 0 meV per atom; calculated volume = 23.721 A^3/atom; formation energy without anion corrections = 0.003 eV/atom
1.0
8.807 0.000 0.000
0.000 8.807 0.000
0.000 0.000 4.893
Hf Ga Cl
4 8 4
direct
0.000 0.000 0.000
0.000 0.500 0.250
0.500 0.000 0.750
0.500 0.500 0.500
0.191 0.250 0.125
0.250 0.691 0.375
0.250 0.809 0.875
0.309 0.250 0.625
0.691 0.750 0.625
0.750 0.191 0.875
0.750 0.309 0.375
0.809 0.750 0.125
0.000 0.000 0.500
0.000 0.500 0.750
0.500 0.000 0.250
0.500 0.500 0.000

***

HfGaCl5 | Alexandria | PBE | optimized geometry; calculated volume = 31.287 A^3/atom; formation energy without anion corrections = -1.479 eV/atom
1.0
5.804 -4.222 0.000
5.804 4.222 0.000
-3.983 0.000 8.937
Hf Ga Cl
2 2 10
direct
0.000 0.000 0.000
0.000 0.000 0.500
0.491 0.509 0.750
0.509 0.491 0.250
0.087 0.913 0.750
0.137 0.297 0.625
0.204 0.664 0.023
0.297 0.137 0.125
0.336 0.796 0.477
0.664 0.204 0.523
0.703 0.863 0.875
0.796 0.336 0.977
0.863 0.703 0.375
0.913 0.087 0.250

***

HfGa3Cl7 | Alexandria | PBE | optimized geometry; calculated volume = 30.606 A^3/atom; formation energy without anion corrections = -1.231 eV/atom
1.0
5.155 -4.887 0.000
5.155 4.887 0.000
-3.306 0.000 6.682
Hf Ga Cl
1 3 7
direct
0.000 0.000 0.000
0.217 0.748 0.513
0.493 0.493 0.990
0.748 0.217 0.513
0.027 0.667 0.764
0.146 0.146 0.808
0.330 0.968 0.220
0.488 0.488 0.650
0.667 0.027 0.764
0.843 0.843 0.169
0.968 0.330 0.220

***

Hf2GaCl8 | Alexandria | PBE | optimized geometry; calculated volume = 39.249 A^3/atom; formation energy without anion corrections = -1.472 eV/atom
1.0
6.089 -5.286 0.000
6.089 5.286 0.000
-0.431 0.000 6.707
Hf Ga Cl
2 1 8
direct
0.176 0.176 0.339
0.824 0.824 0.661
0.000 0.000 0.000
0.100 0.684 0.718
0.173 0.173 0.691
0.316 0.900 0.282
0.353 0.353 0.239
0.647 0.647 0.761
0.684 0.100 0.718
0.827 0.827 0.309
0.900 0.316 0.282

***

HfGa6Cl12 | Alexandria | PBE | optimized geometry; calculated volume = 28.015 A^3/atom; formation energy without anion corrections = -0.952 eV/atom
1.0
6.236 3.601 3.951
-6.236 3.601 3.951
0.000 -7.201 3.951
Hf Ga Cl
1 6 12
direct
0.000 0.000 0.000
0.163 0.327 0.612
0.327 0.612 0.163
0.388 0.837 0.673
0.612 0.163 0.327
0.673 0.388 0.837
0.837 0.673 0.388
0.025 0.918 0.704
0.082 0.296 0.975
0.178 0.557 0.420
0.296 0.975 0.082
0.420 0.178 0.557
0.443 0.580 0.822
0.557 0.420 0.178
0.580 0.822 0.443
0.704 0.025 0.918
0.822 0.443 0.580
0.918 0.704 0.025
0.975 0.082 0.296

***

HfInGa2Cl8 | Alexandria | PBE | optimized geometry; calculated volume = 30.894 A^3/atom; formation energy without anion corrections = -1.205 eV/atom
1.0
6.574 0.000 0.000
0.000 8.153 0.000
-0.354 0.000 6.917
Hf In Ga Cl
1 1 2 8
direct
0.000 0.000 0.000
0.000 0.500 0.000
0.500 0.257 0.500
0.500 0.743 0.500
0.209 0.221 0.861
0.209 0.779 0.861
0.220 0.000 0.293
0.265 0.500 0.310
0.735 0.500 0.690
0.780 0.000 0.707
0.791 0.221 0.139
0.791 0.779 0.139

***

HfInGaCl6 | Alexandria | PBE | optimized geometry; calculated volume = 33.285 A^3/atom; formation energy without anion corrections = -1.396 eV/atom
1.0
7.261 0.000 0.000
-3.631 6.289 0.000
0.000 0.000 6.560
Hf In Ga Cl
1 1 1 6
direct
0.000 0.000 0.000
0.333 0.667 0.500
0.667 0.333 0.000
0.281 0.005 0.216
0.281 0.276 0.784
0.724 0.005 0.784
0.724 0.719 0.216
0.995 0.276 0.216
0.995 0.719 0.784

***

KHfGaCl6 | Alexandria | PBE | optimized geometry; calculated volume = 31.770 A^3/atom; formation energy without anion corrections = -1.648 eV/atom
1.0
7.450 0.000 0.000
-3.725 6.452 0.000
0.000 0.000 11.898
K Hf Ga Cl
2 2 2 12
direct
0.333 0.667 0.250
0.667 0.333 0.750
0.333 0.667 0.750
0.667 0.333 0.250
0.000 0.000 0.000
0.000 0.000 0.500
0.068 0.392 0.630
0.068 0.676 0.870
0.324 0.392 0.870
0.324 0.932 0.630
0.392 0.068 0.130
0.392 0.324 0.370
0.608 0.676 0.630
0.608 0.932 0.870
0.676 0.068 0.370
0.676 0.608 0.130
0.932 0.324 0.130
0.932 0.608 0.370

***

LiHfGaCl6 | Alexandria | PBE | optimized geometry; calculated volume = 27.407 A^3/atom; formation energy without anion corrections = -1.605 eV/atom
1.0
6.592 0.000 0.000
-3.296 5.709 0.000
0.000 0.000 13.110
Li Hf Ga Cl
2 2 2 12
direct
0.333 0.667 0.250
0.667 0.333 0.750
0.333 0.667 0.750
0.667 0.333 0.250
0.000 0.000 0.000
0.000 0.000 0.500
0.015 0.375 0.642
0.015 0.640 0.858
0.360 0.375 0.858
0.360 0.985 0.642
0.375 0.015 0.142
0.375 0.360 0.358
0.625 0.640 0.642
0.625 0.985 0.858
0.640 0.015 0.358
0.640 0.625 0.142
0.985 0.360 0.142
0.985 0.625 0.358

***

HfMgGaCl2 | Alexandria | PBE | optimized geometry; calculated volume = 28.870 A^3/atom; formation energy without anion corrections = -0.024 eV/atom
1.0
4.529 0.000 0.000
0.000 4.529 0.000
0.000 0.000 7.039
Hf Mg Ga Cl
1 1 1 2
direct
0.000 0.000 0.000
0.000 0.000 0.500
0.500 0.500 0.000
0.000 0.500 0.500
0.500 0.000 0.500

***

Hf2MgGaCl | Alexandria | PBE | optimized geometry; calculated volume = 25.289 A^3/atom; formation energy without anion corrections = 1.024 eV/atom
1.0
5.325 0.000 0.000
0.000 5.325 0.000
0.000 0.000 4.458
Hf Mg Ga Cl
2 1 1 1
direct
0.000 0.500 0.000
0.500 0.000 0.000
0.000 0.000 0.000
0.500 0.500 0.500
0.000 0.000 0.500

***

HfGaMo2Cl | Alexandria | PBE | optimized geometry; calculated volume = 26.774 A^3/atom; formation energy without anion corrections = 1.637 eV/atom
1.0
5.032 0.000 0.000
0.000 5.032 0.000
0.000 0.000 5.287
Hf Ga Mo Cl
1 1 2 1
direct
0.000 0.000 0.000
0.000 0.000 0.500
0.000 0.500 0.000
0.500 0.000 0.000
0.500 0.500 0.500

***

HfGaN2Cl | Alexandria | PBE | optimized geometry; calculated volume = 18.432 A^3/atom; formation energy without anion corrections = -0.067 eV/atom
1.0
4.181 0.000 0.000
0.000 4.181 0.000
0.000 0.000 5.273
Hf Ga N Cl
1 1 2 1
direct
0.000 0.000 0.000
0.500 0.500 0.500
0.000 0.500 0.000
0.500 0.000 0.000
0.000 0.000 0.500

***

NaHfGaCl6 | Alexandria | PBE | optimized geometry; calculated volume = 29.546 A^3/atom; formation energy without anion corrections = -1.609 eV/atom
1.0
6.964 0.000 0.000
-3.482 6.031 0.000
0.000 0.000 12.663
Na Hf Ga Cl
2 2 2 12
direct
0.333 0.667 0.250
0.667 0.333 0.750
0.333 0.667 0.750
0.667 0.333 0.250
0.000 0.000 0.000
0.000 0.000 0.500
0.039 0.382 0.637
0.039 0.657 0.863
0.343 0.382 0.863
0.343 0.961 0.637
0.382 0.039 0.137
0.382 0.343 0.363
0.618 0.657 0.637
0.618 0.961 0.863
0.657 0.039 0.363
0.657 0.618 0.137
0.961 0.343 0.137
0.961 0.618 0.363

***

HfGaPdCl2 | Alexandria | PBE | optimized geometry; calculated volume = 25.289 A^3/atom; formation energy without anion corrections = -0.430 eV/atom
1.0
4.892 0.000 0.000
0.000 4.892 0.000
0.000 0.000 5.283
Hf Ga Pd Cl
1 1 1 2
direct
0.000 0.000 0.000
0.500 0.500 0.500
0.000 0.000 0.500
0.000 0.500 0.000
0.500 0.000 0.000